1.
Below is a relaxed AcLa5Au4 crystal, with properties calculated at the GGA-PBE level.

Values from the calculation:
Density of states at the Fermi level = 1.001 states/eV per atom

abc: 3.7873 3.7873 20.6466
angles: 90.00 90.00 90.00
Space group P4/mmm (No. 123)
Asymmetric unit:
1 Ac 0.0000 0.0000 0.0000 [1 per cell]
2 La 0.5000 0.5000 0.1348 [2 per cell]
3 La 0.5000 0.5000 0.3158 [2 per cell]
4 La 0.5000 0.5000 0.5000 [1 per cell]
5 Au 0.0000 0.0000 0.2242 [2 per cell]
6 Au 0.0000 0.0000 0.4073 [2 per cell]



2.
Below is a relaxed Ac3LaAu2 crystal, with properties calculated at the GGA-PBE level.

Values from the calculation:
Polymorph energy (0 for the lowest one) = 0.0 kJ per mole of atoms
Density of states at the Fermi level = 1.032 states/eV per atom

abc: 5.3494 9.9082 7.6760
angles: 90.00 90.00 90.00
Space group Pmc2_1 (No. 26)
Asymmetric unit:
1 Ac 0.0000 0.0780 0.0000 [2 per cell]
2 Ac 0.0000 0.3431 0.3586 [2 per cell]
3 Ac 0.5000 0.1685 0.6517 [2 per cell]
4 La 0.5000 0.4185 0.0126 [2 per cell]
5 Au 0.0000 0.3476 0.7768 [2 per cell]
6 Au 0.5000 0.1534 0.2372 [2 per cell]



Energy relative to the elements across the listed records, respectively: -602, -299 kJ/mol of formula units.